Record 1
First-principles (GGA-PBEsol) data for a relaxed structure of CoTc2Rh, as listed in Alexandria.

Cell: 2.6286 4.1923 4.6327 Å, 90.00 90.00 90.00°
Closest atoms and distances in Å follow each position.
Atoms (fractional coordinates):
Rh (0.5000, 0.5000, 0.2194)  2 Co 2.58, 8 Tc 2.60-2.73, 2 Rh 2.63
Co (0.5000, 0.0000, 0.5443)  2 Rh 2.58, 8 Tc 2.58-2.71, 2 Co 2.63
Tc (0.0000, 0.0000, 0.0328)  4 Tc 2.59-2.63, 4 Co 2.62-2.71, 4 Rh 2.62
Tc (0.0000, 0.5000, 0.7035)  4 Co 2.58, 4 Tc 2.59-2.63, 4 Rh 2.60-2.73

Summary:
- DOS at the Fermi energy: 2.8 states/eV/f.u.
- Total DFT energy (no corrections): -9.71 eV per atom
- ΔE to the lowest computed polymorph: 0.0000 eV per atom

Record 2
First-principles (GGA-PBEsol) data for a relaxed structure of NaMn2HgCl, as listed in Alexandria.

Cell: 5.2745 5.3150 5.3150 Å, 90.00 90.00 90.00°
Closest atoms and distances in Å follow each position.
Atoms (fractional coordinates):
Na (0.0000, 0.0000, 0.0000)  2 Hg 2.64, 4 Mn 2.66
Mn (0.0000, 0.0000, 0.5000)  2 Na 2.66
Mn (0.0000, 0.5000, 0.0000)  2 Na 2.66
Hg (0.5000, 0.0000, 0.0000)  2 Na 2.64
Cl (0.5000, 0.5000, 0.5000)  8 Mn 3.74, 4 Hg 3.76

Summary:
- DOS at the Fermi energy: 3.3 states/eV/f.u.
- E_form (uncorrected): 1.23 eV per atom
- Total DFT energy (no corrections): -3.47 eV per atom

Record 3
First-principles (GGA-PBEsol) data for a relaxed structure of LiIn2Au2, as listed in Alexandria.

Cell: 4.3774 4.3774 6.7580 Å, 108.90 108.90 90.00°
Closest atoms and distances in Å follow each position.
Atoms (fractional coordinates):
Li (0.0000, 0.0000, 0.0000)  8 Au 3.36, 8 In 3.72
Au (0.3914, 0.3914, 0.7827)  1 Au 2.61, 4 In 2.77
Au (0.6086, 0.6086, 0.2173)  1 Au 2.61, 4 In 2.77
In (0.2500, 0.7500, 0.5000)  4 Au 2.77, 4 In 3.10
In (0.7500, 0.2500, 0.5000)  4 Au 2.77, 4 In 3.10

Summary:
- DOS at the Fermi energy: 2.0 states/eV/f.u.
- Total DFT energy (no corrections): -3.32 eV per atom
- ΔE to the lowest computed polymorph: 0.1111 eV per atom

Record 4
First-principles (GGA-PBEsol) data for a relaxed structure of LaBi2Pb2, as listed in Alexandria.

Cell: 4.4771 4.4771 8.7935 Å, 104.75 104.75 90.00°
Closest atoms and distances in Å follow each position.
Atoms (fractional coordinates):
Pb (0.2500, 0.7500, 0.5000)  4 Pb 3.17, 4 Bi 3.41
Pb (0.7500, 0.2500, 0.5000)  4 Pb 3.17, 4 Bi 3.41
Bi (0.4069, 0.4069, 0.8138)  1 Bi 3.05, 4 Pb 3.41
Bi (0.5931, 0.5931, 0.1862)  1 Bi 3.05, 4 Pb 3.41
La (0.0000, 0.0000, 0.0000)  8 Bi 3.51

Summary:
- DOS at the Fermi energy: 2.2 states/eV/f.u.
- Total DFT energy (no corrections): -4.67 eV per atom

Record 5
First-principles (GGA-PBEsol) data for a relaxed structure of LiYBe, as listed in Alexandria.

Cell: 3.4817 3.4817 5.1678 Å, 109.69 109.69 90.00°
Closest atoms and distances in Å follow each position.
Atoms (fractional coordinates):
Y (0.3453, 0.3453, 0.6907)  1 Li 2.73, 4 Be 2.88
Be (0.0093, 0.0093, 0.0187)  4 Li 2.75, 5 Y 2.88-3.05
Li (0.6453, 0.6453, 0.2906)  1 Y 2.73, 4 Be 2.75

Summary:
- DOS at the Fermi energy: 1.5 states/eV/f.u.
- Total DFT energy (no corrections): -4.00 eV per atom

Record 6
First-principles (GGA-PBEsol) data for a relaxed structure of BeTlAs2, as listed in Alexandria.

Cell: 2.8569 5.5759 5.8089 Å, 118.68 104.24 90.00°
Closest atoms and distances in Å follow each position.
Atoms (fractional coordinates):
Be (0.5000, 0.0000, 0.0000)  4 As 2.35
Tl (0.0000, 0.5000, 0.0000)  2 Tl 2.86, 4 Be 3.13
As (0.8089, 0.8089, 0.6178)  2 Be 2.35
As (0.1911, 0.1911, 0.3822)  2 Be 2.35

Summary:
- DOS at the Fermi energy: 2.1 states/eV/f.u.
- Total DFT energy (no corrections): -3.86 eV per atom
- ΔE to the lowest computed polymorph: 0.0000 eV per atom

Record 7
First-principles (GGA-PBEsol) data for a relaxed structure of MgAgC2I, as listed in Alexandria.

Cell: 4.1741 4.1741 6.0899 Å, 90.00 90.00 90.00°
Closest atoms and distances in Å follow each position.
Atoms (fractional coordinates):
I (0.0000, 0.0000, 0.5000)  4 Ag 2.95, 2 Mg 3.04
Mg (0.0000, 0.0000, 0.0000)  4 C 2.09
C (0.0000, 0.5000, 0.0000)  2 Mg 2.09
C (0.5000, 0.0000, 0.0000)  2 Mg 2.09
Ag (0.5000, 0.5000, 0.5000)  4 I 2.95

Summary:
- DOS at the Fermi energy: 3.1 states/eV/f.u.
- E_form (uncorrected): 2.14 eV per atom
- Total DFT energy (no corrections): -3.08 eV per atom

Record 8
First-principles (GGA-PBEsol) data for a relaxed structure of MgTeWI2, as listed in Alexandria.

Cell: 5.2080 5.5250 5.5250 Å, 90.00 90.00 90.00°
Closest atoms and distances in Å follow each position.
Atoms (fractional coordinates):
I (0.0000, 0.0000, 0.5000)  2 W 2.76
I (0.0000, 0.5000, 0.0000)  2 W 2.76
Mg (0.5000, 0.5000, 0.5000)  8 I 3.80, 4 Te 3.91
Te (0.5000, 0.0000, 0.0000)  2 W 2.60
W (0.0000, 0.0000, 0.0000)  2 Te 2.60, 4 I 2.76

Summary:
- DOS at the Fermi energy: 4.7 states/eV/f.u.
- E_form (uncorrected): 0.53 eV per atom
- Total DFT energy (no corrections): -3.99 eV per atom

- What is the DOS at the Fermi energy in the second record?
  3.3 states/eV/f.u.